This record from Alexandria describes Ac3TbSm after structural relaxation. The functional is PBE-GGA.

Unit cell a=6.577 b=9.428 c=13.263 alpha=90.00 beta=90.00 gamma=90.00
Fractional positions:
Ac: 0.587 0.327 0.427
Ac: 0.087 0.327 0.573
Ac: 0.637 0.250 0.750
Ac: 0.137 0.250 0.250
Ac: 0.587 0.173 0.073
Ac: 0.087 0.173 0.927
Ac: 0.913 0.827 0.073
Ac: 0.413 0.827 0.927
Ac: 0.863 0.750 0.750
Ac: 0.363 0.750 0.250
Ac: 0.913 0.673 0.427
Ac: 0.413 0.673 0.573
Tb: 0.750 0.000 0.305
Tb: 0.250 0.000 0.695
Tb: 0.250 0.500 0.805
Tb: 0.750 0.500 0.195
Sm: 0.250 0.000 0.442
Sm: 0.750 0.000 0.558
Sm: 0.250 0.500 0.058
Sm: 0.750 0.500 0.942

Total magnetization = 0.000 μB/atom
SG = No. 52
Density = 8.00 g/cm³


This record from Alexandria describes Ac5Tb2Sm2 after structural relaxation. The functional is PBE-GGA.

Unit cell a=6.576 b=11.443 c=9.337 alpha=35.35 beta=62.35 gamma=61.53
Fractional positions:
Ac: 0.993 0.665 0.667
Ac: 0.662 0.891 0.883
Ac: 0.338 0.109 0.117
Ac: 0.007 0.335 0.333
Ac: 0.000 0.000 0.000
Tb: 0.341 0.770 0.781
Tb: 0.659 0.230 0.219
Sm: 0.662 0.550 0.564
Sm: 0.338 0.450 0.436

Total magnetization = 0.000 μB/atom
SG = No. 2
Density = 8.24 g/cm³


This record from Alexandria describes Ac3Tb6Sm after structural relaxation. The functional is PBE-GGA.

Unit cell a=10.094 b=10.094 c=7.207 alpha=45.55 beta=45.55 gamma=60.00
Last column: magnetic moment on the atom in μB.
Fractional positions:
Ac: 0.350 0.350 0.951  0.05
Ac: 0.609 0.609 0.174  0.04
Ac: 0.091 0.091 0.727  0.04
Tb: 0.926 0.598 0.225  0.07
Tb: 0.251 0.926 0.225  0.07
Tb: 0.598 0.251 0.225  0.07
Tb: 0.102 0.450 0.674  0.07
Tb: 0.774 0.102 0.674  0.07
Tb: 0.450 0.774 0.674  0.07
Sm: 0.850 0.850 0.450  0.09

Total magnetization = 0.108 μB/atom
SG = No. 148
Density = 7.92 g/cm³


This record from Alexandria describes AcTb6Sm3 after structural relaxation. The functional is PBE-GGA.

Unit cell a=9.979 b=9.979 c=7.018 alpha=44.69 beta=44.69 gamma=60.00
Fractional positions:
Ac: 0.900 0.900 0.300
Tb: 0.900 0.560 0.300
Tb: 0.240 0.900 0.300
Tb: 0.560 0.240 0.300
Tb: 0.070 0.400 0.800
Tb: 0.730 0.070 0.800
Tb: 0.400 0.730 0.800
Sm: 0.400 0.400 0.800
Sm: 0.638 0.638 0.085
Sm: 0.162 0.162 0.514

Total magnetization = 0.000 μB/atom
SG = No. 155
Density = 7.84 g/cm³


This record from Alexandria describes Ac12TbSm7 after structural relaxation. The functional is PBE-GGA.

Unit cell a=6.667 b=12.211 c=12.211 alpha=116.76 beta=100.49 gamma=100.49
Fractional positions:
Ac: 0.088 0.587 0.175
Ac: 0.087 0.175 0.588
Ac: 0.568 0.654 0.000
Ac: 0.432 0.000 0.346
Ac: 0.500 0.412 0.587
Ac: 0.087 0.654 0.654
Ac: 0.913 0.346 0.346
Ac: 0.500 0.588 0.413
Ac: 0.568 0.000 0.654
Ac: 0.432 0.346 0.000
Ac: 0.913 0.825 0.412
Ac: 0.912 0.413 0.825
Tb: 0.000 0.000 0.000
Sm: 0.107 0.758 0.000
Sm: 0.893 0.000 0.242
Sm: 0.651 0.758 0.758
Sm: 0.500 0.000 0.000
Sm: 0.349 0.242 0.242
Sm: 0.107 0.000 0.758
Sm: 0.893 0.242 0.000

Total magnetization = 0.000 μB/atom
SG = No. 166
Density = 7.85 g/cm³


This record from Alexandria describes Ac8Tb2Sm after structural relaxation. The functional is PBE-GGA.

Unit cell a=5.961 b=9.134 c=10.128 alpha=116.79 beta=107.08 gamma=90.00
Fractional positions:
Ac: 0.644 0.851 0.288
Ac: 0.357 0.564 0.713
Ac: 0.160 0.159 0.318
Ac: 0.000 0.298 0.000
Ac: 0.840 0.841 0.682
Ac: 0.643 0.436 0.287
Ac: 0.356 0.149 0.712
Ac: 0.000 0.702 0.000
Tb: 0.199 0.699 0.400
Tb: 0.801 0.301 0.600
Sm: 0.500 0.000 0.000

Total magnetization = 0.000 μB/atom
SG = No. 2
Density = 8.16 g/cm³


Number 1: ΔE_f 174 meV per atom, E -4.1607 eV/atom. Number 2: ΔE_f 54 meV per atom, E -4.3061 eV/atom. Number 3: ΔE_f 416 meV per atom, E -4.0664 eV/atom. Number 4: ΔE_f 314 meV per atom, E -4.2907 eV/atom. Number 5: ΔE_f 195 meV per atom, E -4.1536 eV/atom. Number 6: ΔE_f 127 meV per atom, E -4.1316 eV/atom.